## Ba2NiW (PBE)

Data for Ba2NiW after structural relaxation.

Output
Fermi-level density of states, states/eV per cell: 10.46
Formation energy from the elements, eV/atom: 0.726
E above lowest polymorph, meV per atom: 26

abc: 4.1287 5.1135 11.7895
angles: 90.00 90.00 90.00
Sites, in units of the cell vectors:
Ba: 0.0000 0.0000 0.0000
Ba: 0.0000 0.5000 0.5000
Ba: 0.5000 0.0000 0.2900
Ba: 0.5000 0.5000 0.7900
Ni: 0.0000 0.0000 0.6928
Ni: 0.0000 0.5000 0.1928
W: 0.5000 0.0000 0.6005
W: 0.5000 0.5000 0.1005